BaCoB2: relaxed, GGA-PBE.

Cell lengths 6.324, 6.324, 6.324 Å; angles 90.00, 90.00, 90.00 degrees
Space group F-43m (No. 216)
One atom of each set of equivalent atoms:
Ba 0.000 0.000 0.000 [4 per cell]
Co 0.250 0.250 0.250 [4 per cell]
B 0.000 0.000 0.500 [4 per cell]
B 0.250 0.250 0.750 [4 per cell]

spin magnetization	0.354	μB per atom
calculated total energy	-60.5	eV/cell
calculated volume	253	Å³ per cell